No. 1
Material: Cs3La3RuO8
Method: DFT, PBE
State: relaxed

Results
Energy relative to the elements, uncorrected in kcal/mol of atoms: -50.87
ρ in g/cm3: 5.51

a b c (Å): 7.241 7.242 8.091
angles (deg): 116.59 90.00 120.00
Atoms (fractional coordinates):
Cs 0.000 0.000 0.000
Cs 0.000 0.500 0.000
Cs 0.500 0.500 0.000
La 0.500 0.000 0.500
La 0.500 0.500 0.500
La 0.000 0.500 0.500
Ru 0.000 0.000 0.500
O 0.277 0.555 0.332
O 0.723 0.445 0.668
O 0.802 0.604 0.346
O 0.198 0.396 0.654
O 0.802 0.044 0.346
O 0.198 0.956 0.654
O 0.242 0.044 0.346
O 0.758 0.956 0.654

=====

No. 2
Material: Cs4La3RuO8
Method: DFT, PBE
State: relaxed

Results
Energy relative to the elements, uncorrected in kcal/mol of atoms: -46.89
ρ in g/cm3: 6.15

a b c (Å): 7.319 8.046 7.320
angles (deg): 117.05 120.00 90.00
Atoms (fractional coordinates):
Cs 0.500 0.000 0.000
Cs 0.500 0.000 0.500
Cs 0.000 0.000 0.000
Cs 0.000 0.000 0.500
La 0.500 0.500 0.000
La 0.500 0.500 0.500
La 0.000 0.500 0.500
Ru 0.000 0.500 0.000
O 0.209 0.665 0.956
O 0.210 0.665 0.419
O 0.276 0.329 0.553
O 0.746 0.665 0.956
O 0.254 0.335 0.044
O 0.724 0.671 0.447
O 0.790 0.335 0.581
O 0.791 0.335 0.044

=====

No. 3
Material: CsLaS2O8
Method: DFT, PBE
State: relaxed

Results
Energy relative to the elements, uncorrected in kcal/mol of atoms: -48.90
Energy above the most stable polymorph in this dataset in meV/atom: 0
ρ in g/cm3: 3.90

a b c (Å): 5.561 8.161 17.406
angles (deg): 92.26 90.00 90.00
Atoms (fractional coordinates):
Cs 0.767 0.640 0.615
Cs 0.267 0.860 0.885
Cs 0.233 0.360 0.385
Cs 0.733 0.140 0.115
La 0.185 0.632 0.137
La 0.685 0.868 0.363
La 0.315 0.132 0.637
La 0.815 0.368 0.863
S 0.766 0.046 0.746
S 0.257 0.329 0.977
S 0.757 0.171 0.523
S 0.266 0.454 0.754
S 0.234 0.954 0.254
S 0.243 0.829 0.477
S 0.734 0.546 0.246
S 0.743 0.671 0.023
O 0.933 0.797 0.038
O 0.791 0.058 0.832
O 0.720 0.633 0.938
O 0.010 0.019 0.289
O 0.291 0.442 0.668
O 0.556 0.942 0.723
O 0.209 0.942 0.168
O 0.816 0.523 0.064
O 0.506 0.734 0.051
O 0.280 0.367 0.062
O 0.709 0.558 0.332
O 0.316 0.977 0.436
O 0.714 0.217 0.720
O 0.220 0.867 0.562
O 0.056 0.558 0.777
O 0.286 0.783 0.280
O 0.494 0.266 0.949
O 0.567 0.297 0.538
O 0.444 0.058 0.277
O 0.184 0.477 0.936
O 0.510 0.481 0.211
O 0.214 0.283 0.780
O 0.684 0.023 0.564
O 0.067 0.203 0.962
O 0.786 0.717 0.220
O 0.990 0.981 0.711
O 0.006 0.766 0.449
O 0.433 0.703 0.462
O 0.994 0.234 0.551
O 0.490 0.519 0.789
O 0.944 0.442 0.223
O 0.780 0.133 0.438

=====

No. 4
Material: CsLaS2O8
Method: DFT, PBE
State: relaxed

Results
Energy relative to the elements, uncorrected in kcal/mol of atoms: -48.53
Energy above the most stable polymorph in this dataset in meV/atom: 16
ρ in g/cm3: 3.19

a b c (Å): 5.550 5.550 9.060
angles (deg): 90.00 90.00 120.00
Atoms (fractional coordinates):
Cs 0.000 0.000 0.000
La 0.000 0.000 0.500
S 0.667 0.333 0.277
S 0.333 0.667 0.723
O 0.333 0.667 0.884
O 0.384 0.255 0.336
O 0.745 0.129 0.336
O 0.667 0.333 0.116
O 0.255 0.871 0.664
O 0.616 0.745 0.664
O 0.129 0.384 0.664
O 0.871 0.616 0.336

=====

No. 5
Material: Cs3La3SbO8
Method: DFT, PBE
State: relaxed

Results
Energy relative to the elements, uncorrected in kcal/mol of atoms: -53.81
ρ in g/cm3: 5.40

a b c (Å): 7.341 7.344 8.202
angles (deg): 116.59 89.99 120.00
Atoms (fractional coordinates):
Cs 0.000 0.000 0.000
Cs 0.000 0.500 0.000
Cs 0.500 0.500 0.000
La 0.500 0.000 0.500
La 0.500 0.500 0.500
La 0.000 0.500 0.500
Sb 0.000 0.000 0.500
O 0.279 0.558 0.338
O 0.721 0.442 0.662
O 0.799 0.597 0.342
O 0.201 0.403 0.658
O 0.799 0.044 0.342
O 0.201 0.956 0.658
O 0.245 0.044 0.342
O 0.755 0.956 0.658

=====

No. 6
Material: Cs2LaSb2O6
Method: DFT, PBE
State: relaxed

Results
Energy relative to the elements, uncorrected in kcal/mol of atoms: -43.02
ρ in g/cm3: 4.46

a b c (Å): 6.546 6.550 7.867
angles (deg): 106.00 90.00 119.98
Atoms (fractional coordinates):
Cs 0.787 0.575 0.283
Cs 0.213 0.425 0.717
La 0.500 0.000 0.500
Sb 0.894 0.788 0.786
Sb 0.106 0.212 0.214
O 0.713 0.426 0.696
O 0.292 0.121 0.334
O 0.171 0.879 0.666
O 0.708 0.879 0.666
O 0.829 0.121 0.334
O 0.287 0.574 0.304

=====

No. 7
Material: CsLa2SbO
Method: DFT, PBE
State: relaxed

Results
Energy relative to the elements, uncorrected in kcal/mol of atoms: -19.07
ρ in g/cm3: 5.91

a b c (Å): 5.057 6.024 5.057
angles (deg): 90.00 90.00 90.00
Atoms (fractional coordinates):
Cs 0.500 0.500 0.500
Sb 0.000 0.500 0.000
O 0.000 0.000 0.000
La 0.000 0.000 0.500
La 0.500 0.000 0.000

=====

No. 8
Material: Cs2LaScO4
Method: DFT, PBE
State: relaxed

Results
Energy relative to the elements, uncorrected in kcal/mol of atoms: -54.75
ρ in g/cm3: 5.77

a b c (Å): 7.469 7.469 7.740
angles (deg): 121.21 121.21 89.46
Atoms (fractional coordinates):
Cs 0.500 0.000 0.000
Cs 0.500 0.000 0.500
Cs 0.000 0.000 0.500
Cs 0.500 0.500 0.000
La 0.000 0.500 0.000
La 0.000 0.500 0.500
Sc 0.500 0.500 0.500
Sc 0.000 0.000 0.000
O 0.167 0.749 0.958
O 0.751 0.333 0.542
O 0.249 0.667 0.458
O 0.833 0.251 0.042
O 0.767 0.733 0.936
O 0.767 0.733 0.564
O 0.233 0.267 0.436
O 0.233 0.267 0.064